PuScGaCu: optimized geometry, PBE.

Properties
Energy relative to the elements (eV per atom): -0.218
E_tot (eV per atom): -7.165

abc: 4.856 4.856 4.856
angles: 60.00 60.00 60.00
Site moments in Bohr magnetons follow the coordinates.
Fractional positions:
Cu1 0.000 0.000 0.000  0.04
Sc1 0.250 0.250 0.250  0.12
Pu1 0.750 0.750 0.750  5.18
Ga1 0.500 0.500 0.500  -0.03